Here is a relaxed MgTiFeRh crystal from Alexandria. Energies are from GGA-PBE.

Cell lengths 6.1009, 6.1009, 6.1009 Å; angles 90.00, 90.00, 90.00 degrees
With the nearest neighbours (Å) after each atom.
Space group F-43m (No. 216)
One atom of each set of equivalent atoms:
Mg 0.0000 0.0000 0.0000 (multiplicity 4)  4 Fe 2.64, 4 Rh 2.64
Ti 0.0000 0.0000 0.5000 (multiplicity 4)  4 Fe 2.64, 4 Rh 2.64
Fe 0.2500 0.2500 0.7500 (multiplicity 4)  4 Mg 2.64, 4 Ti 2.64
Rh 0.2500 0.2500 0.2500 (multiplicity 4)  4 Mg 2.64, 4 Ti 2.64

The crystal system is cubic. As for the energy: -26.6 eV/f.u. The spin magnetization comes out at 0.748 μB/f.u. The calculated formation energy is -1.3 eV per formula unit.


Here is a relaxed MgV2FeRh crystal from Alexandria. Energies are from GGA-PBE.

Cell lengths 4.3927, 4.3927, 4.1186 Å; angles 90.00, 90.00, 90.00 degrees
With the nearest neighbours (Å) after each atom.
Space group P4/mmm (No. 123)
One atom of each set of equivalent atoms:
Mg 0.0000 0.0000 0.0000 (multiplicity 1)  2 Fe 2.06, 4 V 2.20
V 0.0000 0.5000 0.0000 (multiplicity 2)  2 Mg 2.20
Fe 0.0000 0.0000 0.5000 (multiplicity 1)  2 Mg 2.06
Rh 0.5000 0.5000 0.5000 (multiplicity 1)  8 V 3.01, 4 Fe 3.11

The crystal system is tetragonal. As for the energy: -26.5 eV/f.u. The spin magnetization comes out at 0.000 μB/f.u. The calculated formation energy is 9.1 eV per formula unit.


Here is a relaxed MgVFeRh crystal from Alexandria. Energies are from GGA-PBE.

Cell lengths 5.9668, 5.9668, 5.9668 Å; angles 90.00, 90.00, 90.00 degrees
With the nearest neighbours (Å) after each atom.
Space group F-43m (No. 216)
One atom of each set of equivalent atoms:
Mg 0.0000 0.0000 0.0000 (multiplicity 4)  4 Fe 2.58, 4 Rh 2.58
V 0.0000 0.0000 0.5000 (multiplicity 4)  4 Fe 2.58, 4 Rh 2.58
Fe 0.2500 0.2500 0.7500 (multiplicity 4)  4 Mg 2.58, 4 V 2.58
Rh 0.2500 0.2500 0.2500 (multiplicity 4)  4 Mg 2.58, 4 V 2.58

The crystal system is cubic. As for the energy: -27.2 eV/f.u. The spin magnetization comes out at 0.000 μB/f.u. The calculated formation energy is -0.7 eV per formula unit.


Here is a relaxed Mg2ZnFe2Rh5 crystal from Alexandria. Energies are from GGA-PBE.

Cell lengths 9.3082, 9.3082, 3.5203 Å; angles 90.00, 90.00, 90.00 degrees
With the nearest neighbours (Å) after each atom.
Space group P4/mbm (No. 127)
One atom of each set of equivalent atoms:
Mg 0.1702 0.3298 0.0000 (multiplicity 4)  3 Fe 2.64-2.82, 2 Rh 2.85
Zn 0.0000 0.0000 0.0000 (multiplicity 2)  8 Rh 2.64
Fe 0.1295 0.6295 0.0000 (multiplicity 4)  6 Rh 2.44-2.45, 1 Mg 2.64
Rh 0.0000 0.5000 0.5000 (multiplicity 2)  4 Fe 2.45
Rh 0.0709 0.8011 0.5000 (multiplicity 8)  2 Fe 2.44, 2 Zn 2.64

The crystal system is tetragonal. As for the energy: -59.4 eV/f.u. The spin magnetization comes out at 7.496 μB/f.u. The calculated formation energy is -1.2 eV per formula unit.


Here is a relaxed Mg2Zn2FeRh5 crystal from Alexandria. Energies are from GGA-PBE.

Cell lengths 9.9228, 9.9228, 3.1314 Å; angles 90.00, 90.00, 90.00 degrees
With the nearest neighbours (Å) after each atom.
Space group P4/mbm (No. 127)
One atom of each set of equivalent atoms:
Mg 0.1678 0.3322 0.0000 (multiplicity 4)  1 Zn 2.72, 6 Rh 2.83-2.91
Zn 0.1387 0.6387 0.0000 (multiplicity 4)  6 Rh 2.48-2.50, 1 Mg 2.72
Fe 0.0000 0.0000 0.0000 (multiplicity 2)  8 Rh 2.52
Rh 0.0000 0.5000 0.5000 (multiplicity 2)  4 Zn 2.50
Rh 0.0378 0.8040 0.5000 (multiplicity 8)  2 Zn 2.48, 2 Fe 2.52

The crystal system is tetragonal. As for the energy: -52.6 eV/f.u. The spin magnetization comes out at 3.887 μB/f.u. The calculated formation energy is -1.7 eV per formula unit.


Here is a relaxed MgZnFeRh crystal from Alexandria. Energies are from GGA-PBE.

Cell lengths 6.1190, 6.1190, 6.1190 Å; angles 90.00, 90.00, 90.00 degrees
With the nearest neighbours (Å) after each atom.
Space group F-43m (No. 216)
One atom of each set of equivalent atoms:
Mg 0.0000 0.0000 0.0000 (multiplicity 4)  4 Rh 2.65, 4 Zn 2.65
Zn 0.2500 0.2500 0.7500 (multiplicity 4)  4 Fe 2.65, 4 Mg 2.65
Fe 0.0000 0.0000 0.5000 (multiplicity 4)  4 Zn 2.65, 4 Rh 2.65
Rh 0.2500 0.2500 0.2500 (multiplicity 4)  4 Fe 2.65, 4 Mg 2.65

The crystal system is cubic. As for the energy: -19.3 eV/f.u. The spin magnetization comes out at 3.040 μB/f.u. The calculated formation energy is -0.6 eV per formula unit.


Here is a relaxed MgZrFeRh crystal from Alexandria. Energies are from GGA-PBE.

Cell lengths 6.3291, 6.3291, 6.3291 Å; angles 90.00, 90.00, 90.00 degrees
With the nearest neighbours (Å) after each atom.
Space group F-43m (No. 216)
One atom of each set of equivalent atoms:
Mg 0.0000 0.0000 0.0000 (multiplicity 4)  4 Rh 2.74, 4 Fe 2.74
Zr 0.0000 0.0000 0.5000 (multiplicity 4)  4 Fe 2.74, 4 Rh 2.74
Fe 0.2500 0.2500 0.2500 (multiplicity 4)  4 Zr 2.74, 4 Mg 2.74
Rh 0.2500 0.2500 0.7500 (multiplicity 4)  4 Zr 2.74, 4 Mg 2.74

The crystal system is cubic. As for the energy: -27.2 eV/f.u. The spin magnetization comes out at 0.777 μB/f.u. The calculated formation energy is -1.2 eV per formula unit.


Here is a relaxed MgFeRu2 crystal from Alexandria. Energies are from GGA-PBE.

Cell lengths 2.7514, 3.8787, 5.3431 Å; angles 90.00, 90.25, 90.00 degrees
With the nearest neighbours (Å) after each atom.
Space group Pm (No. 6)
One atom of each set of equivalent atoms:
Mg 0.0000 0.0000 0.0000 (multiplicity 1)  6 Ru 2.67-2.79, 4 Fe 2.73, 2 Mg 2.75
Fe 0.4997 0.5000 0.2512 (multiplicity 1)  6 Ru 2.54-2.80, 4 Mg 2.73, 2 Fe 2.75
Ru 0.4983 0.5000 0.7275 (multiplicity 1)  2 Fe 2.54-2.80, 6 Ru 2.67-2.75, 4 Mg 2.79
Ru 0.9968 0.0000 0.5002 (multiplicity 1)  6 Ru 2.67-2.75, 2 Mg 2.67, 4 Fe 2.72-2.73

The crystal system is monoclinic. As for the energy: -27.9 eV/f.u. The spin magnetization comes out at 2.781 μB/f.u. The calculated formation energy is 0.7 eV per formula unit.


Here is a relaxed Mg2FeRu crystal from Alexandria. Energies are from GGA-PBE.

Cell lengths 7.0615, 7.0615, 5.3533 Å; angles 90.00, 90.00, 90.00 degrees
With the nearest neighbours (Å) after each atom.
Space group I-42d (No. 122)
One atom of each set of equivalent atoms:
Mg 0.2459 0.2500 0.1250 (multiplicity 8)  2 Fe 2.57, 2 Ru 2.60, 2 Mg 2.68
Fe 0.0000 0.0000 0.0000 (multiplicity 4)  4 Mg 2.57, 2 Ru 2.68
Ru 0.0000 0.0000 0.5000 (multiplicity 4)  4 Mg 2.60, 2 Fe 2.68

As for the energy above the most stable polymorph in this dataset: 510 meV/atom. The crystal system is tetragonal. As for the energy: -18.7 eV/f.u. The spin magnetization comes out at 3.742 μB/f.u. The calculated formation energy is 2.3 eV per formula unit.


Here is a relaxed MgFeRu2 crystal from Alexandria. Energies are from GGA-PBE.

Cell lengths 2.7443, 2.7443, 26.5035 Å; angles 90.00, 90.00, 120.00 degrees
With the nearest neighbours (Å) after each atom.
Space group R3m (No. 160, hexagonal axes)
One atom of each set of equivalent atoms:
Mg 0.0000 0.0000 0.0000 (multiplicity 3)  6 Mg 2.74, 3 Fe 2.80, 3 Ru 2.81
Fe 0.0000 0.0000 0.7537 (multiplicity 3)  3 Ru 2.62, 6 Fe 2.74, 3 Mg 2.80
Ru 0.0000 0.0000 0.2456 (multiplicity 3)  9 Ru 2.64-2.74, 3 Mg 2.81
Ru 0.0000 0.0000 0.4992 (multiplicity 3)  3 Fe 2.62, 9 Ru 2.64-2.74

The crystal system is trigonal. As for the energy: -27.7 eV/f.u. The spin magnetization comes out at 2.179 μB/f.u. The calculated formation energy is 0.9 eV per formula unit.


Here is a relaxed Mg2FeRu crystal from Alexandria. Energies are from GGA-PBE.

Cell lengths 5.5188, 8.0708, 2.7941 Å; angles 90.00, 90.00, 90.00 degrees
With the nearest neighbours (Å) after each atom.
Space group Cmmm (No. 65)
One atom of each set of equivalent atoms:
Mg 0.2500 0.2500 0.0000 (multiplicity 4)  4 Mg 2.76-2.79, 4 Fe 2.82, 4 Ru 2.82
Fe 0.0000 0.0000 0.5000 (multiplicity 2)  2 Ru 2.76, 2 Fe 2.79, 8 Mg 2.82
Ru 0.0000 0.5000 0.5000 (multiplicity 2)  2 Fe 2.76, 2 Ru 2.79, 8 Mg 2.82

As for the energy above the most stable polymorph in this dataset: 146 meV/atom. The crystal system is orthorhombic. As for the energy: -20.1 eV/f.u. The spin magnetization comes out at 3.686 μB/f.u. The calculated formation energy is 0.8 eV per formula unit.


Here is a relaxed MgFeRu2 crystal from Alexandria. Energies are from GGA-PBE.

Cell lengths 9.4584, 2.8389, 4.5493 Å; angles 90.00, 109.74, 90.00 degrees
With the nearest neighbours (Å) after each atom.
Space group C2/m (No. 12)
One atom of each set of equivalent atoms:
Mg 0.0000 0.0000 0.0000 (multiplicity 2)  4 Fe 2.68, 6 Ru 2.82-2.86, 2 Mg 2.84
Fe 0.0000 0.5000 0.5000 (multiplicity 2)  4 Ru 2.47, 4 Mg 2.68
Ru 0.2251 0.0000 0.7226 (multiplicity 4)  2 Fe 2.47, 2 Ru 2.64

The crystal system is monoclinic. As for the energy: -28.0 eV/f.u. The spin magnetization comes out at 2.864 μB/f.u. The calculated formation energy is 0.6 eV per formula unit.


Here is a relaxed MgFeRu2 crystal from Alexandria. Energies are from GGA-PBE.

Cell lengths 7.0487, 7.0487, 5.0328 Å; angles 90.00, 90.00, 90.00 degrees
With the nearest neighbours (Å) after each atom.
Space group I-42d (No. 122)
One atom of each set of equivalent atoms:
Mg 0.0000 0.0000 0.0000 (multiplicity 4)  2 Fe 2.52
Fe 0.0000 0.0000 0.5000 (multiplicity 4)  4 Ru 2.31, 2 Mg 2.52
Ru 0.1919 0.2500 0.6250 (multiplicity 8)  2 Fe 2.31

The crystal system is tetragonal. As for the energy: -26.5 eV/f.u. The spin magnetization comes out at 1.766 μB/f.u. The calculated formation energy is 2.1 eV per formula unit.


Here is a relaxed Mg2FeRu crystal from Alexandria. Energies are from GGA-PBE.

Cell lengths 3.3667, 4.2397, 8.5743 Å; angles 90.00, 90.00, 90.00 degrees
With the nearest neighbours (Å) after each atom.
Space group Immm (No. 71)
One atom of each set of equivalent atoms:
Mg 0.0000 0.0000 0.2493 (multiplicity 4)  4 Mg 2.71, 4 Fe 2.72-3.02, 4 Ru 2.73-3.01
Fe 0.0000 0.5000 0.5000 (multiplicity 2)  4 Ru 2.71, 8 Mg 2.72-3.02
Ru 0.0000 0.5000 0.0000 (multiplicity 2)  4 Fe 2.71, 8 Mg 2.73-3.01

As for the energy above the most stable polymorph in this dataset: 95 meV/atom. The crystal system is orthorhombic. As for the energy: -20.3 eV/f.u. The spin magnetization comes out at 3.034 μB/f.u. The calculated formation energy is 0.6 eV per formula unit.


Here is a relaxed MgFeRu2 crystal from Alexandria. Energies are from GGA-PBE.

Cell lengths 3.0008, 3.0008, 6.2881 Å; angles 90.00, 90.00, 90.00 degrees
With the nearest neighbours (Å) after each atom.
Space group P4/mmm (No. 123)
One atom of each set of equivalent atoms:
Mg 0.0000 0.0000 0.0000 (multiplicity 1)  8 Ru 2.75, 4 Mg 3.00
Fe 0.0000 0.0000 0.5000 (multiplicity 1)  8 Ru 2.54
Ru 0.5000 0.5000 0.2786 (multiplicity 2)  4 Fe 2.54, 4 Mg 2.75, 1 Ru 2.78

The crystal system is tetragonal. As for the energy: -28.2 eV/f.u. The spin magnetization comes out at 2.377 μB/f.u. The calculated formation energy is 0.4 eV per formula unit.


Here is a relaxed MgFeRu2 crystal from Alexandria. Energies are from GGA-PBE.

Cell lengths 2.7515, 2.7515, 26.0804 Å; angles 90.00, 90.00, 120.00 degrees
With the nearest neighbours (Å) after each atom.
Space group R-3m (No. 166, hexagonal axes)
One atom of each set of equivalent atoms:
Mg 0.0000 0.0000 0.0000 (multiplicity 3)  6 Mg 2.75, 6 Ru 2.81
Fe 0.0000 0.0000 0.5000 (multiplicity 3)  6 Ru 2.58, 6 Fe 2.75
Ru 0.0000 0.0000 0.2447 (multiplicity 6)  3 Fe 2.58, 6 Ru 2.75, 3 Mg 2.81

The crystal system is trigonal. As for the energy: -27.9 eV/f.u. The spin magnetization comes out at 2.536 μB/f.u. The calculated formation energy is 0.7 eV per formula unit.


Here is a relaxed Mg2FeRu crystal from Alexandria. Energies are from GGA-PBE.

Cell lengths 6.2455, 6.2455, 6.2455 Å; angles 90.00, 90.00, 90.00 degrees
With the nearest neighbours (Å) after each atom.
Space group F-43m (No. 216)
One atom of each set of equivalent atoms:
Mg 0.0000 0.0000 0.0000 (multiplicity 4)  4 Mg 2.70, 4 Ru 2.70
Mg 0.2500 0.2500 0.2500 (multiplicity 4)  4 Fe 2.70, 4 Mg 2.70
Fe 0.0000 0.0000 0.5000 (multiplicity 4)  4 Ru 2.70, 4 Mg 2.70
Ru 0.2500 0.2500 0.7500 (multiplicity 4)  4 Fe 2.70, 4 Mg 2.70

As for the energy above the most stable polymorph in this dataset: 60 meV/atom. The crystal system is cubic. As for the energy: -20.5 eV/f.u. The spin magnetization comes out at 3.144 μB/f.u. The calculated formation energy is 0.5 eV per formula unit.


Here is a relaxed Mg2FeRu crystal from Alexandria. Energies are from GGA-PBE.

Cell lengths 2.7657, 4.0955, 5.4917 Å; angles 90.00, 90.00, 90.00 degrees
With the nearest neighbours (Å) after each atom.
Space group Pmmm (No. 47)
One atom of each set of equivalent atoms:
Mg 0.0000 0.0000 0.2465 (multiplicity 2)  4 Mg 2.71-2.78, 4 Ru 2.82, 4 Fe 2.84
Fe 0.5000 0.5000 0.5000 (multiplicity 1)  2 Ru 2.75, 2 Fe 2.77, 8 Mg 2.84
Ru 0.5000 0.5000 0.0000 (multiplicity 1)  2 Fe 2.75, 2 Ru 2.77, 8 Mg 2.82

As for the energy above the most stable polymorph in this dataset: 148 meV/atom. The crystal system is orthorhombic. As for the energy: -20.1 eV/f.u. The spin magnetization comes out at 3.445 μB/f.u. The calculated formation energy is 0.8 eV per formula unit.


Here is a relaxed Mg2FeRu crystal from Alexandria. Energies are from GGA-PBE.

Cell lengths 3.3041, 3.3041, 5.6830 Å; angles 90.00, 90.00, 90.00 degrees
With the nearest neighbours (Å) after each atom.
Space group P4/mmm (No. 123)
One atom of each set of equivalent atoms:
Mg 0.0000 0.0000 0.2424 (multiplicity 2)  4 Ru 2.71, 2 Mg 2.76-2.93, 4 Fe 2.76
Fe 0.5000 0.5000 0.5000 (multiplicity 1)  8 Mg 2.76, 2 Ru 2.84
Ru 0.5000 0.5000 0.0000 (multiplicity 1)  8 Mg 2.71, 2 Fe 2.84

As for the energy above the most stable polymorph in this dataset: 168 meV/atom. The crystal system is tetragonal. As for the energy: -20.0 eV/f.u. The spin magnetization comes out at 3.241 μB/f.u. The calculated formation energy is 0.9 eV per formula unit.


Here is a relaxed MgFeRu2 crystal from Alexandria. Energies are from GGA-PBE.

Cell lengths 2.8929, 4.5361, 8.8683 Å; angles 90.00, 90.00, 90.00 degrees
With the nearest neighbours (Å) after each atom.
Space group Cmm2 (No. 35)
One atom of each set of equivalent atoms:
Mg 0.0000 0.0000 0.0000 (multiplicity 2)  6 Mg 2.69-2.89, 2 Ru 2.71, 2 Fe 2.71
Fe 0.0000 0.5000 0.2582 (multiplicity 2)  2 Ru 2.52, 4 Fe 2.69, 2 Mg 2.71
Ru 0.0000 0.0000 0.4916 (multiplicity 2)  2 Fe 2.52, 6 Ru 2.65-2.69
Ru 0.0000 0.5000 0.7418 (multiplicity 2)  8 Ru 2.65-2.89, 2 Mg 2.71

The crystal system is orthorhombic. As for the energy: -27.2 eV/f.u. The spin magnetization comes out at 2.673 μB/f.u. The calculated formation energy is 1.4 eV per formula unit.